## CaPr6SmTm2 (PBE)

Data for crystalline CaPr6SmTm2 at its relaxed geometry.

Cell lengths 9.0670, 9.0670, 9.8236 Å; angles 93.50, 93.50, 117.51 degrees
With the nearest neighbours (Å) after each atom.
Fractional positions:
Ca1 0.0287 0.9713 0.7500  4 Tm 3.49-3.54, 4 Pr 3.76-3.81
Ca2 0.9713 0.0287 0.2500  4 Tm 3.49-3.54, 4 Pr 3.76-3.81
Pr1 0.0157 0.5531 0.6801  3 Pr 3.30-3.61, 2 Tm 3.55-3.61, 1 Sm 3.56
Pr2 0.1194 0.7543 0.0536  7 Pr 3.52-3.90, 1 Tm 3.59, 2 Ca 3.81-3.92
Pr3 0.2457 0.8806 0.4464  7 Pr 3.52-3.90, 1 Tm 3.59, 2 Ca 3.81-3.92
Pr4 0.2942 0.5066 0.8805  4 Pr 3.30-3.69, 3 Tm 3.35-3.52, 2 Sm 3.51-3.65
Pr5 0.4469 0.9843 0.8199  3 Pr 3.30-3.61, 2 Tm 3.55-3.61, 1 Sm 3.56
Pr6 0.4934 0.7058 0.6195  4 Pr 3.30-3.69, 3 Tm 3.35-3.52, 2 Sm 3.51-3.65
Pr7 0.5066 0.2942 0.3805  4 Pr 3.30-3.69, 3 Tm 3.35-3.52, 2 Sm 3.51-3.65
Pr8 0.5531 0.0157 0.1801  3 Pr 3.30-3.61, 2 Tm 3.55-3.61, 1 Sm 3.56
Pr9 0.7058 0.4934 0.1195  4 Pr 3.30-3.69, 3 Tm 3.35-3.52, 2 Sm 3.51-3.65
Pr10 0.7543 0.1194 0.5536  7 Pr 3.52-3.90, 1 Tm 3.59, 2 Ca 3.81-3.92
Pr11 0.8806 0.2457 0.9464  7 Pr 3.52-3.90, 1 Tm 3.59, 2 Ca 3.81-3.92
Pr12 0.9843 0.4469 0.3199  3 Pr 3.30-3.61, 2 Tm 3.55-3.61, 1 Sm 3.56
Sm1 0.4075 0.5925 0.2500  6 Pr 3.51-3.65, 2 Tm 3.66
Sm2 0.5925 0.4075 0.7500  6 Pr 3.51-3.65, 2 Tm 3.66
Tm1 0.1986 0.3024 0.5468  6 Pr 3.35-3.61, 2 Ca 3.49-3.54, 1 Sm 3.66
Tm2 0.3024 0.1986 0.0468  6 Pr 3.35-3.61, 2 Ca 3.49-3.54, 1 Sm 3.66
Tm3 0.6976 0.8014 0.9532  6 Pr 3.35-3.61, 2 Ca 3.49-3.54, 1 Sm 3.66
Tm4 0.8014 0.6976 0.4532  6 Pr 3.35-3.61, 2 Ca 3.49-3.54, 1 Sm 3.66

Summary:
**Total DFT energy (no corrections)**: -4.314 eV/atom
**Symmetry**: C2/c (15)
**Magnetic moment**: 0.00 μB/cell
**Energy relative to the elements**: 120 meV/atom